## HfNiPb2 (PBE-GGA)

Data for crystalline HfNiPb2 at its relaxed geometry.

abc: 7.0405 7.0405 7.0405
angles: 90.00 90.00 90.00
Closest atoms and distances in Å follow each position.
Space group Fm-3m (No. 225)
Asymmetric unit:
1 Hf 0.0000 0.0000 0.0000 x4  8 Pb 3.05
2 Ni 0.0000 0.0000 0.5000 x4  8 Pb 3.05
3 Pb 0.2500 0.2500 0.2500 x8  4 Hf 3.05, 4 Ni 3.05

Results
Crystal system   cubic
N(E_F)   0.72 states/eV/atom
Energy   -5.39 eV per atom
ΔE_f   0.40 eV/atom

## HfNiPb (PBE-GGA)

Data for crystalline HfNiPb at its relaxed geometry.

abc: 3.7811 5.4616 6.2950
angles: 102.95 107.36 90.00
Closest atoms and distances in Å follow each position.
Space group P-1 (No. 2)
Asymmetric unit:
1 Hf 0.1540 0.3220 0.3069 x2  3 Ni 2.56-2.66
2 Ni 0.2333 0.8188 0.4647 x2  3 Hf 2.56-2.66, 3 Pb 2.68-2.80, 2 Ni 2.69-2.70
3 Pb 0.4273 0.2151 0.8579 x2  3 Ni 2.68-2.80

Results
Crystal system   triclinic
N(E_F)   0.61 states/eV/atom
Energy   -6.62 eV per atom
ΔE_f   -0.14 eV/atom

## Hf2NiPb2 (PBE-GGA)

Data for crystalline Hf2NiPb2 at its relaxed geometry.

abc: 6.8022 6.8022 4.6211
angles: 90.00 90.00 90.00
Closest atoms and distances in Å follow each position.
Space group P4/mbm (No. 127)
Asymmetric unit:
1 Hf 0.1611 0.3389 0.0000 x4  6 Pb 2.92-3.15, 1 Hf 3.10
2 Ni 0.0000 0.0000 0.5000 x2  4 Pb 2.58
3 Pb 0.1530 0.6530 0.5000 x4  2 Ni 2.58

Results
Crystal system   tetragonal
N(E_F)   0.87 states/eV/atom
Energy   -6.39 eV per atom
ΔE_f   0.23 eV/atom

- The highest N(E_F) belongs to which entry?
  Hf2NiPb2

- Which value of ΔE_f does entry 1 give?
  0.40 eV/atom